! La5CuGe3 (PBE, optimized geometry); values from VASP
&SYSTEM
  ibrav = 0, nat = 18, ntyp = 3
/
ATOMIC_SPECIES
La 138.91 La.upf
Cu 63.55 Cu.upf
Ge 72.64 Ge.upf
CELL_PARAMETERS angstrom
9.254 0.000 0.000
-4.627 8.014 0.000
0.000 0.000 6.781
ATOMIC_POSITIONS crystal
La 0.000 0.272 0.250
La 0.000 0.728 0.750
La 0.272 0.000 0.250
La 0.272 0.272 0.750
La 0.333 0.667 0.000
La 0.333 0.667 0.500
La 0.667 0.333 0.000
La 0.667 0.333 0.500
La 0.728 0.000 0.750
La 0.728 0.728 0.250
Cu 0.000 0.000 0.000
Cu 0.000 0.000 0.500
Ge 0.000 0.379 0.750
Ge 0.000 0.621 0.250
Ge 0.379 0.000 0.750
Ge 0.379 0.379 0.250
Ge 0.621 0.000 0.250
Ge 0.621 0.621 0.750
! - energy of formation from the pure elements (eV/atom) = -0.61
! - SG = P6_3/mcm (193)

=====

! LaCu2Ge2 (PBE, optimized geometry); values from VASP
&SYSTEM
  ibrav = 0, nat = 5, ntyp = 3
/
ATOMIC_SPECIES
La 138.91 La.upf
Cu 63.55 Cu.upf
Ge 72.64 Ge.upf
CELL_PARAMETERS angstrom
-2.159 2.159 5.019
2.159 -2.159 5.019
2.159 2.159 -5.019
ATOMIC_POSITIONS crystal
La 0.000 0.000 0.000
Cu 0.377 0.377 0.000
Cu 0.623 0.623 0.000
Ge 0.250 0.750 0.500
Ge 0.750 0.250 0.500
! - energy of formation from the pure elements (eV/atom) = -0.45
! - SG = I4/mmm (139)

=====

> What is the energy of formation from the pure elements in the first record?

-0.61 eV/atom